Entry 1:
## Cs2Cd2Hg15 (GGA-PBE)

Data for Cs2Cd2Hg15 after structural relaxation.

Results
ΔE_f in eV per atom: -0.11
Total moment in μB/cell: 0.000

a b c (Å): 8.5262 8.5262 8.5262
angles (deg): 79.64 79.64 79.64
Positions (direct):
Cs 0.3362 0.3362 0.3362
Cs 0.6638 0.6638 0.6638
Cd 0.0928 0.0928 0.0928
Cd 0.9072 0.9072 0.9072
Hg 0.5000 0.0000 0.0000
Hg 0.0000 0.0000 0.5000
Hg 0.0000 0.5000 0.0000
Hg 0.0000 0.7087 0.2913
Hg 0.7087 0.2913 0.0000
Hg 0.2913 0.0000 0.7087
Hg 0.2913 0.7087 0.0000
Hg 0.7087 0.0000 0.2913
Hg 0.0000 0.2913 0.7087
Hg 0.1482 0.6430 0.6430
Hg 0.6430 0.6430 0.1482
Hg 0.6430 0.1482 0.6430
Hg 0.8518 0.3570 0.3570
Hg 0.3570 0.3570 0.8518
Hg 0.3570 0.8518 0.3570



Entry 2:
## YSc3Hg (GGA-PBE)

Data for YSc3Hg after structural relaxation.

Results
ΔE_f in eV per atom: 0.92
Total moment in μB/cell: 0.000

a b c (Å): 5.2542 5.2542 5.2542
angles (deg): 90.00 90.00 90.00
Positions (direct):
Y 0.0000 0.0000 0.0000
Sc 0.0000 0.5000 0.0000
Sc 0.0000 0.0000 0.5000
Sc 0.5000 0.0000 0.0000
Hg 0.5000 0.5000 0.5000



Entry 3:
## Na2RuPt (GGA-PBE)

Data for Na2RuPt after structural relaxation.

Results
ΔE_f in eV per atom: 0.83
Total moment in μB/cell: 2.222

a b c (Å): 4.6759 4.6759 4.6759
angles (deg): 60.00 60.00 60.00
Site moments in Bohr magnetons follow the coordinates.
Positions (direct):
Ru 0.0000 0.0000 0.0000  1.89
Pt 0.5000 0.5000 0.5000  0.22
Na 0.2500 0.2500 0.2500  -0.01
Na 0.7500 0.7500 0.7500  -0.01



Entry 4:
## LaGdGe4 (GGA-PBE)

Data for LaGdGe4 after structural relaxation.

Results
ΔE_f in eV per atom: -0.41
Total moment in μB/cell: 7.733

a b c (Å): 5.7207 5.7207 5.7207
angles (deg): 60.00 60.00 60.00
Site moments in Bohr magnetons follow the coordinates.
Positions (direct):
Ge 0.6234 0.6234 0.1298  0.00
Ge 0.6234 0.1298 0.6234  0.00
Ge 0.6234 0.6234 0.6234  0.00
Ge 0.1298 0.6234 0.6234  0.00
Gd 0.2500 0.2500 0.2500  7.15
La 0.0000 0.0000 0.0000  0.17



Entry 5:
## KTl2W (GGA-PBE)

Data for KTl2W after structural relaxation.

Results
ΔE_f in eV per atom: 0.83
Total moment in μB/cell: 0.960

a b c (Å): 4.9747 4.9747 7.6172
angles (deg): 85.24 85.24 35.37
Site moments in Bohr magnetons follow the coordinates.
Positions (direct):
K 0.2500 0.2500 0.2500  0.00
Tl 0.0076 0.0076 0.9411  0.00
Tl 0.4924 0.4924 0.5589  0.00
W 0.7500 0.7500 0.7500  0.71



Entry 6:
## PmGa5Co3 (GGA-PBE)

Data for PmGa5Co3 after structural relaxation.

Results
ΔE_f in eV per atom: -0.15
Total moment in μB/cell: 0.463

a b c (Å): 7.2174 7.2174 8.7350
angles (deg): 57.24 57.24 73.47
Site moments in Bohr magnetons follow the coordinates.
Positions (direct):
Pm 0.1554 0.1554 0.6098  -0.01
Pm 0.8446 0.8446 0.3902  -0.01
Ga 0.9323 0.3895 0.3144  0.00
Ga 0.2695 0.7305 0.0000  0.00
Ga 0.7981 0.7981 0.9882  0.00
Ga 0.4957 0.4957 0.2413  0.00
Ga 0.5043 0.5043 0.7587  0.00
Ga 0.2019 0.2019 0.0118  0.00
Ga 0.3895 0.9323 0.3144  0.00
Ga 0.7305 0.2695 0.0000  0.00
Ga 0.0677 0.6105 0.6856  0.00
Ga 0.6105 0.0677 0.6856  0.00
Co 0.6699 0.6699 0.8489  0.06
Co 0.6286 0.6286 0.3684  0.18
Co 0.0000 0.0000 0.0000  0.02
Co 0.0000 0.0000 0.5000  -0.02
Co 0.3301 0.3301 0.1511  0.06
Co 0.3714 0.3714 0.6316  0.18